VASP calculation (SCAN) on a crystal of Mg3Zr relaxed with PBEsol.

Unit cell a=6.2921 b=6.2921 c=4.9913 alpha=90.00 beta=90.00 gamma=120.00
Space group P6_3/mmc (No. 194)
Unique sites:
1 Mg 0.1675 0.3349 0.2500 x6
2 Zr 0.3333 0.6667 0.7500 x2

- Energy relative to the elements: 0.051 eV/atom
- Total magnetization: 0.00 μB/f.u.
- Raw total energy: -90.83 eV for the cell shown